1) A plane-wave DFT calculation with PBE-GGA was carried out for a relaxed structure of CdGe2P2.

a = 7.522 Å, b = 7.522 Å, c = 3.518 Å
α = 90.00°, β = 90.00°, γ = 90.00°
Space group P4/mbm (No. 127)
Symmetry-distinct sites (fractional):
Cd 0.000 0.000 0.000 (multiplicity 2)
Ge 0.158 0.342 0.500 (multiplicity 4)
P 0.180 0.680 0.000 (multiplicity 4)

Properties
Crystal system   tetragonal



2) A plane-wave DFT calculation with PBE-GGA was carried out for a relaxed structure of CdGe2P2.

a = 10.745 Å, b = 7.840 Å, c = 5.937 Å
α = 90.00°, β = 123.26°, γ = 90.00°
Space group C2/c (No. 15)
Symmetry-distinct sites (fractional):
Cd 0.000 0.181 0.250 (multiplicity 4)
Ge 0.000 0.500 0.000 (multiplicity 4)
Ge 0.250 0.250 0.000 (multiplicity 4)
P 0.205 0.001 0.704 (multiplicity 8)

Properties
Crystal system   monoclinic



The structure with the greatest stability is 1).



1) A plane-wave DFT calculation with PBE-GGA was carried out for a relaxed structure of Cd3GeP.

a = 5.077 Å, b = 5.077 Å, c = 5.077 Å
α = 90.00°, β = 90.00°, γ = 90.00°
Space group Pm-3m (No. 221)
Symmetry-distinct sites (fractional):
Cd 0.000 0.000 0.500 (multiplicity 3)
Ge 0.500 0.500 0.500 (multiplicity 1)
P 0.000 0.000 0.000 (multiplicity 1)

Properties
Crystal system   cubic



2) A plane-wave DFT calculation with PBE-GGA was carried out for a relaxed structure of Cd3GeP.

a = 5.140 Å, b = 5.140 Å, c = 5.140 Å
α = 90.00°, β = 90.00°, γ = 90.00°
Space group Pm-3m (No. 221)
Symmetry-distinct sites (fractional):
Cd 0.000 0.000 0.500 (multiplicity 3)
Ge 0.000 0.000 0.000 (multiplicity 1)
P 0.500 0.500 0.500 (multiplicity 1)

Properties
Crystal system   cubic



The structure with the greatest stability is 1).



1) A plane-wave DFT calculation with PBE-GGA was carried out for a relaxed structure of Cd2GeP.

a = 6.895 Å, b = 6.895 Å, c = 6.895 Å
α = 90.00°, β = 90.00°, γ = 90.00°
Space group Fm-3m (No. 225)
Symmetry-distinct sites (fractional):
Cd 0.250 0.250 0.250 (multiplicity 8)
Ge 0.000 0.000 0.000 (multiplicity 4)
P 0.000 0.000 0.500 (multiplicity 4)

Properties
Crystal system   cubic



2) A plane-wave DFT calculation with PBE-GGA was carried out for a relaxed structure of Cd2GeP.

a = 7.685 Å, b = 7.685 Å, c = 5.760 Å
α = 90.00°, β = 90.00°, γ = 90.00°
Space group I-42d (No. 122)
Symmetry-distinct sites (fractional):
Cd 0.219 0.250 0.125 (multiplicity 8)
Ge 0.000 0.000 0.500 (multiplicity 4)
P 0.000 0.000 0.000 (multiplicity 4)

Properties
Crystal system   tetragonal



The structure with the greatest stability is 2).



1) A plane-wave DFT calculation with PBE-GGA was carried out for a relaxed structure of CdGeP.

a = 2.666 Å, b = 6.255 Å, c = 15.342 Å
α = 90.00°, β = 90.00°, γ = 90.00°
Space group Immm (No. 71)
Symmetry-distinct sites (fractional):
Cd 0.000 0.000 0.190 (multiplicity 4)
Ge 0.000 0.266 0.500 (multiplicity 4)
P 0.000 0.000 0.378 (multiplicity 4)

Properties
Crystal system   orthorhombic



2) A plane-wave DFT calculation with PBE-GGA was carried out for a relaxed structure of CdGeP.

a = 3.6813 Å, b = 3.6813 Å, c = 5.3518 Å
α = 90.00°, β = 90.00°, γ = 120.00°
Space group P3m1 (No. 156)
Symmetry-distinct sites (fractional):
Cd 0.0000 0.0000 0.0000 (multiplicity 1)
Ge 0.3333 0.6667 0.5957 (multiplicity 1)
P 0.6667 0.3333 0.3668 (multiplicity 1)

Properties
Crystal system   trigonal



The structure with the greatest stability is 2).



1) A plane-wave DFT calculation with PBE-GGA was carried out for a relaxed structure of Cd2GePb.

a = 7.342 Å, b = 7.342 Å, c = 7.342 Å
α = 90.00°, β = 90.00°, γ = 90.00°
Space group Fm-3m (No. 225)
Symmetry-distinct sites (fractional):
Cd 0.250 0.250 0.250 (multiplicity 8)
Ge 0.000 0.000 0.000 (multiplicity 4)
Pb 0.000 0.000 0.500 (multiplicity 4)

Properties
Crystal system   cubic



2) A plane-wave DFT calculation with PBE-GGA was carried out for a relaxed structure of Cd2GePb.

a = 3.559 Å, b = 3.559 Å, c = 7.744 Å
α = 90.00°, β = 90.00°, γ = 90.00°
Space group P4/mmm (No. 123)
Symmetry-distinct sites (fractional):
Cd 0.000 0.000 0.213 (multiplicity 2)
Ge 0.500 0.500 0.000 (multiplicity 1)
Pb 0.500 0.500 0.500 (multiplicity 1)

Properties
Crystal system   tetragonal



3) A plane-wave DFT calculation with PBE-GGA was carried out for a relaxed structure of Cd2GePb.

a = 8.262 Å, b = 8.262 Å, c = 6.039 Å
α = 90.00°, β = 90.00°, γ = 90.00°
Space group I-42d (No. 122)
Symmetry-distinct sites (fractional):
Cd 0.212 0.250 0.125 (multiplicity 8)
Ge 0.000 0.000 0.000 (multiplicity 4)
Pb 0.000 0.000 0.500 (multiplicity 4)

Properties
Crystal system   tetragonal



The structure with the greatest stability is 2).



1) A plane-wave DFT calculation with PBE-GGA was carried out for a relaxed structure of Cd2GePb.

a = 4.6004 Å, b = 4.6004 Å, c = 16.8823 Å
α = 90.00°, β = 90.00°, γ = 120.00°
Space group R-3m (No. 166, hexagonal axes)
Symmetry-distinct sites (fractional):
Cd 0.0000 0.0000 0.2314 (multiplicity 6)
Ge 0.0000 0.0000 0.5000 (multiplicity 3)
Pb 0.0000 0.0000 0.0000 (multiplicity 3)

Properties
Crystal system   trigonal



2) A plane-wave DFT calculation with PBE-GGA was carried out for a relaxed structure of Cd2GePb.

a = 4.710 Å, b = 4.710 Å, c = 4.407 Å
α = 90.00°, β = 90.00°, γ = 90.00°
Space group P4/mmm (No. 123)
Symmetry-distinct sites (fractional):
Cd 0.000 0.500 0.000 (multiplicity 2)
Ge 0.000 0.000 0.500 (multiplicity 1)
Pb 0.500 0.500 0.500 (multiplicity 1)

Properties
Crystal system   tetragonal



The structure with the greatest stability is 2).



1) A plane-wave DFT calculation with PBE-GGA was carried out for a relaxed structure of CdGe2Pb.

a = 7.245 Å, b = 7.245 Å, c = 7.245 Å
α = 90.00°, β = 90.00°, γ = 90.00°
Space group Fm-3m (No. 225)
Symmetry-distinct sites (fractional):
Cd 0.000 0.000 0.000 (multiplicity 4)
Ge 0.250 0.250 0.250 (multiplicity 8)
Pb 0.000 0.000 0.500 (multiplicity 4)

Properties
Crystal system   cubic



2) A plane-wave DFT calculation with PBE-GGA was carried out for a relaxed structure of CdGe2Pb.

a = 6.384 Å, b = 6.384 Å, c = 12.255 Å
α = 90.00°, β = 90.00°, γ = 90.00°
Space group I-42d (No. 122)
Symmetry-distinct sites (fractional):
Cd 0.000 0.000 0.000 (multiplicity 4)
Ge 0.237 0.250 0.125 (multiplicity 8)
Pb 0.000 0.000 0.500 (multiplicity 4)

Properties
Crystal system   tetragonal



The structure with the greatest stability is 1).



1) A plane-wave DFT calculation with PBE-GGA was carried out for a relaxed structure of Cd3GePd4.

a = 4.448 Å, b = 4.448 Å, c = 13.762 Å
α = 90.00°, β = 90.00°, γ = 90.00°
Space group I4/mmm (No. 139)
Symmetry-distinct sites (fractional):
Cd 0.000 0.000 0.000 (multiplicity 2)
Cd 0.000 0.000 0.249 (multiplicity 4)
Ge 0.000 0.000 0.500 (multiplicity 2)
Pd 0.000 0.500 0.116 (multiplicity 8)

Properties
Crystal system   tetragonal



2) A plane-wave DFT calculation with PBE-GGA was carried out for a relaxed structure of Cd3GePd4.

a = 5.700 Å, b = 9.272 Å, c = 5.522 Å
α = 90.00°, β = 90.00°, γ = 90.00°
Space group Imm2 (No. 44)
Symmetry-distinct sites (fractional):
Cd 0.000 0.000 0.000 (multiplicity 2)
Cd 0.000 0.283 0.758 (multiplicity 4)
Ge 0.000 0.500 0.364 (multiplicity 2)
Pd 0.000 0.245 0.267 (multiplicity 4)
Pd 0.237 0.000 0.509 (multiplicity 4)

Properties
Crystal system   orthorhombic



The structure with the greatest stability is 1).



1) A plane-wave DFT calculation with PBE-GGA was carried out for a relaxed structure of Cd3GePd3.

a = 8.614 Å, b = 9.273 Å, c = 6.444 Å
α = 90.00°, β = 90.00°, γ = 90.00°
Space group Cmmm (No. 65)
Symmetry-distinct sites (fractional):
Cd 0.000 0.247 0.000 (multiplicity 4)
Cd 0.190 0.000 0.500 (multiplicity 4)
Cd 0.235 0.000 0.000 (multiplicity 4)
Ge 0.000 0.272 0.500 (multiplicity 4)
Pd 0.000 0.500 0.274 (multiplicity 4)
Pd 0.250 0.250 0.271 (multiplicity 8)

Properties
Crystal system   orthorhombic



2) A plane-wave DFT calculation with PBE-GGA was carried out for a relaxed structure of Cd3GePd3.

a = 8.9473 Å, b = 8.9473 Å, c = 5.7225 Å
α = 90.00°, β = 90.00°, γ = 120.00°
Space group R-3m (No. 166, hexagonal axes)
Symmetry-distinct sites (fractional):
Cd 0.0000 0.5000 0.0000 (multiplicity 9)
Ge 0.0000 0.0000 0.0000 (multiplicity 3)
Pd 0.0000 0.5000 0.5000 (multiplicity 9)

Properties
Crystal system   trigonal



The structure with the greatest stability is 1).



1) A plane-wave DFT calculation with PBE-GGA was carried out for a relaxed structure of Cd2Ge2Pd.

a = 7.233 Å, b = 7.233 Å, c = 3.953 Å
α = 90.00°, β = 90.00°, γ = 90.00°
Space group P4/mbm (No. 127)
Symmetry-distinct sites (fractional):
Cd 0.147 0.353 0.000 (multiplicity 4)
Ge 0.158 0.658 0.500 (multiplicity 4)
Pd 0.000 0.000 0.000 (multiplicity 2)

Properties
Crystal system   tetragonal



2) A plane-wave DFT calculation with PBE-GGA was carried out for a relaxed structure of Cd2Ge2Pd.

a = 6.518 Å, b = 6.518 Å, c = 4.716 Å
α = 90.00°, β = 90.00°, γ = 90.00°
Space group P4/mbm (No. 127)
Symmetry-distinct sites (fractional):
Cd 0.181 0.319 0.000 (multiplicity 4)
Ge 0.139 0.639 0.500 (multiplicity 4)
Pd 0.000 0.000 0.500 (multiplicity 2)

Properties
Crystal system   tetragonal



The structure with the greatest stability is 2).



1) A plane-wave DFT calculation with PBE-GGA was carried out for a relaxed structure of CdGePd6.

a = 4.028 Å, b = 4.028 Å, c = 7.789 Å
α = 90.00°, β = 90.00°, γ = 90.00°
Space group P4/mmm (No. 123)
Symmetry-distinct sites (fractional):
Cd 0.000 0.000 0.000 (multiplicity 1)
Ge 0.000 0.000 0.500 (multiplicity 1)
Pd 0.000 0.500 0.263 (multiplicity 4)
Pd 0.500 0.500 0.000 (multiplicity 1)
Pd 0.500 0.500 0.500 (multiplicity 1)

Properties
Crystal system   tetragonal



2) A plane-wave DFT calculation with PBE-GGA was carried out for a relaxed structure of CdGePd6.

a = 5.104 Å, b = 5.121 Å, c = 5.162 Å
α = 96.07°, β = 96.54°, γ = 96.59°
Space group P-1 (No. 2)
Symmetry-distinct sites (fractional):
Cd 0.000 0.000 0.000 (multiplicity 1)
Ge 0.500 0.500 0.500 (multiplicity 1)
Pd 0.076 0.264 0.552 (multiplicity 2)
Pd 0.265 0.549 0.079 (multiplicity 2)
Pd 0.452 0.922 0.736 (multiplicity 2)

Properties
Crystal system   triclinic



The structure with the greatest stability is 1).



1) A plane-wave DFT calculation with PBE-GGA was carried out for a relaxed structure of CdGe2Pd8.

a = 7.438 Å, b = 11.141 Å, c = 4.575 Å
α = 90.00°, β = 107.63°, γ = 90.00°
Space group C2/m (No. 12)
Symmetry-distinct sites (fractional):
Cd 0.000 0.000 0.000 (multiplicity 2)
Ge 0.000 0.318 0.500 (multiplicity 4)
Pd 0.000 0.242 0.000 (multiplicity 4)
Pd 0.112 0.500 0.818 (multiplicity 4)
Pd 0.198 0.124 0.595 (multiplicity 8)

Properties
Crystal system   monoclinic



2) A plane-wave DFT calculation with PBE-GGA was carried out for a relaxed structure of CdGe2Pd8.

a = 4.056 Å, b = 7.033 Å, c = 12.310 Å
α = 90.00°, β = 90.00°, γ = 90.00°
Space group Immm (No. 71)
Symmetry-distinct sites (fractional):
Cd 0.000 0.000 0.000 (multiplicity 2)
Ge 0.000 0.000 0.318 (multiplicity 4)
Pd 0.000 0.196 0.500 (multiplicity 4)
Pd 0.000 0.280 0.165 (multiplicity 8)
Pd 0.000 0.500 0.349 (multiplicity 4)

Properties
Crystal system   orthorhombic



The structure with the greatest stability is 2).